Below is a geometry-optimized LaCu2W structure, with properties calculated at the PBE-GGA level.

**Electronic total energy**: -5.90 eV per atom
**Space group**: No. 225
**Total moment**: 0.132 μB per atom
**Energy relative to the elements**: 614 meV/atom
**Relative energy among the computed polymorphs**: 254 meV per atom
**DOS(E_F)**: 3.80 states/eV/cell

abc: 4.722 4.722 4.722
angles: 60.00 60.00 60.00
Last column: magnetic moment on the atom in μB.
Fractional positions:
Cu  0.250  0.250  0.250  0.01
Cu  0.750  0.750  0.750  0.01
W  0.500  0.500  0.500  0.41
La  0.000  0.000  0.000  0.01